A plane-wave DFT calculation with PBE-GGA was carried out for crystalline CaPbS2Cl at its relaxed geometry.

Output
The energy relative to the elements, uncorrected is -3.088 eV per formula unit. As for the total energy: -18.90 eV per formula unit. The energy above the most stable polymorph in this dataset comes out at 94 meV/atom.

Unit cell a=5.5277 b=5.5277 c=5.2675 alpha=90.00 beta=90.00 gamma=90.00
Atoms (fractional coordinates):
1 Cl 0.0000 0.0000 0.5000
2 S 0.0000 0.5000 0.0000
3 S 0.5000 0.0000 0.0000
4 Ca 0.5000 0.5000 0.5000
5 Pb 0.0000 0.0000 0.0000